DFT (GGA-PBE) results for a relaxed CrSb2Ru crystal.

a b c (Å): 4.768 4.768 4.768
angles (deg): 60.00 60.00 60.00
Positions (direct):
Cr 0.500 0.500 0.500
Ru 0.750 0.750 0.750
Sb 0.000 0.000 0.000
Sb 0.250 0.250 0.250

Output
* E above lowest polymorph: 451 meV per atom
* total moment: 3.90 μB/f.u.
* crystal system: cubic
* mass density: 8.59 g/cm3
* uncorrected formation energy: 0.585 eV/atom